<P>
# AlN2Cl

A PBEsol-optimized structure of AlN2Cl (SCAN, the Alexandria database).

a b c (Å): 3.884 3.884 3.884
angles (deg): 60.00 60.00 60.00
Atoms (fractional coordinates):
N1 0.250 0.250 0.250
N2 0.750 0.750 0.750
Al1 0.000 0.000 0.000
Cl1 0.500 0.500 0.500

The density of states at the Fermi level comes out at 0.885 states/eV per atom. Its crystal system is cubic.

<Q>
# AlN2Cl

A PBEsol-optimized structure of AlN2Cl (SCAN, the Alexandria database).

a b c (Å): 4.009 4.009 6.996
angles (deg): 106.65 106.65 90.00
Atoms (fractional coordinates):
N1 0.625 0.375 0.750
N2 0.125 0.375 0.750
N3 0.625 0.875 0.250
N4 0.625 0.375 0.250
Al1 0.500 0.500 0.000
Al2 0.750 0.250 0.500
Cl1 0.000 0.000 0.000
Cl2 0.250 0.750 0.500

The density of states at the Fermi level comes out at 0.487 states/eV per atom. Its crystal system is tetragonal.

<R>
# AlN2Cl

A PBEsol-optimized structure of AlN2Cl (SCAN, the Alexandria database).

a b c (Å): 3.042 3.042 6.279
angles (deg): 75.98 75.98 60.00
Atoms (fractional coordinates):
N1 0.895 0.895 0.316
N2 0.105 0.105 0.684
Al1 0.000 0.000 0.000
Cl1 0.500 0.500 0.500

The density of states at the Fermi level comes out at 0.216 states/eV per atom. Its crystal system is trigonal.

Which of them is the least stable? Correct choice: <P>.